# 1
Density functional theory data (PBEsol) for GdCdAg2 after structural relaxation.

Cell lengths 4.876, 4.876, 4.876 Å; angles 60.00, 60.00, 60.00 degrees
Site moments in Bohr magnetons follow the coordinates.
Positions (direct):
Cd  0.500  0.500  0.500  0.02
Ag  0.750  0.750  0.750  0.03
Ag  0.250  0.250  0.250  0.03
Gd  0.000  0.000  0.000  7.04

Summary:
Raw total energy   -5.85 eV/atom
Crystal system   cubic
Magnetization   7.389 μB/cell


# 2
Density functional theory data (PBEsol) for CsScS2N after structural relaxation.

Cell lengths 4.176, 5.263, 5.263 Å; angles 90.00, 90.00, 90.00 degrees
Positions (direct):
Cs  0.000  0.000  0.000
S  0.000  0.000  0.500
S  0.000  0.500  0.000
N  0.500  0.000  0.000
Sc  0.500  0.500  0.500

Summary:
Uncorrected formation energy   122 kJ per mole of atoms
Crystal system   tetragonal
Magnetization   0.003 μB/cell


# 3
Density functional theory data (PBEsol) for Te4Rh after structural relaxation.

Cell lengths 5.593, 5.593, 5.593 Å; angles 109.47, 109.47, 109.47 degrees
Positions (direct):
Te  0.500  0.000  0.000
Rh  0.000  0.000  0.000
Te  0.000  0.000  0.500
Te  0.000  0.500  0.000
Te  0.500  0.500  0.500

Summary:
Uncorrected formation energy   10 kJ per mole of atoms
Crystal system   cubic
Magnetization   0.000 μB/cell


# 4
Density functional theory data (PBEsol) for Na2PtF after structural relaxation.

Cell lengths 5.796, 5.796, 5.796 Å; angles 104.04, 112.25, 112.25 degrees
Site moments in Bohr magnetons follow the coordinates.
Positions (direct):
Pt  0.500  0.750  0.250  0.15
F  0.000  0.500  0.500  0.00
Na  0.909  0.534  0.125  0.00
Pt  0.000  0.000  0.000  0.15
Na  0.091  0.216  0.625  0.00
F  0.500  0.250  0.750  0.00
Na  0.591  0.375  0.466  0.00
Na  0.409  0.875  0.784  0.00

Summary:
Uncorrected formation energy   -70 kJ per mole of atoms
Crystal system   tetragonal
Magnetization   0.335 μB/cell


# 5
Density functional theory data (PBEsol) for Li2FeAsW after structural relaxation.

Cell lengths 4.702, 4.739, 4.739 Å; angles 90.00, 90.00, 90.00 degrees
Site moments in Bohr magnetons follow the coordinates.
Positions (direct):
As  0.500  0.000  0.000  -0.03
Li  0.000  0.500  0.000  0.03
Li  0.000  0.000  0.500  0.03
Fe  0.500  0.500  0.500  3.29
W  0.000  0.000  0.000  1.51

Summary:
Raw total energy   -4.86 eV/atom
Crystal system   tetragonal
Magnetization   5.336 μB/cell


# 6
Density functional theory data (PBEsol) for TeSe after structural relaxation.

Cell lengths 3.798, 5.672, 9.013 Å; angles 69.27, 77.84, 70.44 degrees
Positions (direct):
Se  0.653  0.385  0.309
Te  0.293  0.339  0.075
Se  0.629  0.986  0.756
Te  0.324  0.692  0.660
Se  0.984  0.059  0.972
Te  0.950  0.705  0.396

Summary:
Uncorrected formation energy   10 kJ per mole of atoms
Crystal system   monoclinic
Magnetization   0.000 μB/cell


# 7
Density functional theory data (PBEsol) for CaY2AgF after structural relaxation.

Cell lengths 4.830, 5.758, 5.758 Å; angles 90.00, 90.00, 90.00 degrees
Positions (direct):
Y  0.000  0.000  0.500
Y  0.000  0.500  0.000
Ca  0.000  0.000  0.000
Ag  0.500  0.000  0.000
F  0.500  0.500  0.500

Summary:
Uncorrected formation energy   68 kJ per mole of atoms
Crystal system   tetragonal
Magnetization   0.000 μB/cell


# 8
Density functional theory data (PBEsol) for YSiPd2 after structural relaxation.

Cell lengths 5.453, 6.902, 7.252 Å; angles 90.00, 90.00, 90.00 degrees
Positions (direct):
Y  0.861  0.750  0.972
Si  0.641  0.250  0.879
Pd  0.094  0.552  0.323
Y  0.639  0.750  0.472
Pd  0.594  0.052  0.177
Si  0.359  0.750  0.121
Pd  0.094  0.948  0.323
Pd  0.406  0.552  0.823
Y  0.361  0.250  0.528
Si  0.141  0.750  0.621
Pd  0.406  0.948  0.823
Pd  0.906  0.052  0.677
Pd  0.906  0.448  0.677
Pd  0.594  0.448  0.177
Si  0.859  0.250  0.379
Y  0.139  0.250  0.028

Summary:
Uncorrected formation energy   -100 kJ per mole of atoms
Crystal system   orthorhombic
Magnetization   0.000 μB/cell


# 9
Density functional theory data (PBEsol) for Sr2LaMn2O7 after structural relaxation.

Cell lengths 3.828, 3.828, 10.322 Å; angles 100.69, 100.69, 90.00 degrees
Site moments in Bohr magnetons follow the coordinates.
Positions (direct):
Sr  0.683  0.683  0.366  0.01
O  0.092  0.592  0.183  0.05
Sr  0.317  0.317  0.634  0.01
O  0.908  0.408  0.817  0.05
O  0.592  0.092  0.183  0.05
Mn  0.902  0.902  0.804  3.05
O  0.000  0.000  0.000  0.03
O  0.193  0.193  0.386  0.05
Mn  0.098  0.098  0.196  3.05
La  0.500  0.500  0.000  0.04
O  0.807  0.807  0.614  0.05
O  0.408  0.908  0.817  0.05

Summary:
Uncorrected formation energy   -250 kJ per mole of atoms
Crystal system   tetragonal
Magnetization   6.834 μB/cell


# 10
Density functional theory data (PBEsol) for MgHPd2 after structural relaxation.

Cell lengths 5.092, 5.092, 5.092 Å; angles 105.59, 105.59, 117.55 degrees
Positions (direct):
Mg  0.250  0.750  0.500
Pd  0.125  0.514  0.889
Pd  0.486  0.375  0.611
H  0.750  0.250  0.500
H  0.500  0.500  0.000
Mg  0.000  0.000  0.000
Pd  0.625  0.236  0.111
Pd  0.764  0.875  0.389

Summary:
Raw total energy   -4.61 eV/atom
Crystal system   tetragonal
Magnetization   0.000 μB/cell


no.,volume (Å³/cell)
1,81.98
2,115.69
3,134.65
4,148.91
5,105.61
6,170.16
7,160.13
8,272.97
9,145.99
10,100.08